Mg2Zn (PBE, optimized geometry); calculated total energy = -4.62 eV per cell; ΔH_f (0 K) = -0.052 eV per atom; crystal system = tetragonal; D(E_F) = 1.0 states/eV per cell
1.0
-1.590 1.590 5.838
1.590 -1.590 5.838
1.590 1.590 -5.838
Mg Zn
2 1
Direct
0.152 0.152 0.000
0.848 0.848 0.000
0.500 0.500 0.000